## KCrO2 (PBE with a Hubbard U)

Data for KCrO2 after structural relaxation.

Summary:
The value obtained for the energy above the lowest structure with this stoichiometry is 83.8 kJ/mol of formula units.

Geometry as POSCAR:
```
KCrO2
1.0
-2.923 2.923 3.742
2.923 -2.923 3.742
2.923 2.923 -3.742
K Cr O
2 2 4
Cartesian
0.000 0.000 0.000
0.000 2.923 1.871
2.923 0.000 1.871
0.000 0.000 3.742
1.461 -0.795 2.806
2.128 1.461 0.935
1.461 3.718 -0.935
0.795 1.461 4.677
```